[1]
Compound: LaTa2Se
Source: the Alexandria database
Functional: PBE
Structure: optimized geometry

## Properties
Space group = Cmmm, No. 65
Formation energy from raw total energies = 0.3335 eV per atom

a = 3.1403 Å, b = 3.1403 Å, c = 9.2794 Å
α = 90.00°, β = 90.00°, γ = 112.00°
Positions (direct):
La (0.0000, 0.0000, 0.0000)
Ta (0.5000, 0.5000, 0.2917)
Ta (0.5000, 0.5000, 0.7083)
Se (0.0000, 0.0000, 0.5000)


[2]
Compound: Li5TlBi6
Source: the Alexandria database
Functional: PBE
Structure: optimized geometry

## Properties
Space group = C2/m, No. 12
ΔH_f (0 K) = -284 meV/atom

a = 8.8866 Å, b = 8.8866 Å, c = 4.7031 Å
α = 105.23°, β = 105.23°, γ = 60.76°
Positions (direct):
Li (0.0000, 0.0000, 0.0000)
Li (0.1813, 0.1813, 0.6820)
Li (0.3400, 0.3400, 0.3403)
Li (0.6600, 0.6600, 0.6597)
Li (0.8187, 0.8187, 0.3180)
Tl (0.5000, 0.5000, 0.0000)
Bi (0.0616, 0.5983, 0.8297)
Bi (0.2142, 0.7858, 0.5000)
Bi (0.4017, 0.9384, 0.1703)
Bi (0.5983, 0.0616, 0.8297)
Bi (0.7858, 0.2142, 0.5000)
Bi (0.9384, 0.4017, 0.1703)


Number 1: total DFT energy (no corrections) -30.78 eV/f.u., V 84.8 Å³/cell. Number 2: total DFT energy (no corrections) -38.62 eV/f.u., V 308.7 Å³/cell.